DFT (PBE) results for a geometry-optimized Dy2TmIn3Fe2Cu structure.

## Properties
The total energy comes out at -4.908 eV per atom.

abc: 3.902 12.840 7.433
angles: 90.00 90.00 90.00
Space group Amm2 (No. 38)
One atom of each set of equivalent atoms:
1 Dy 0.000 0.205 0.000
2 Tm 0.000 0.000 0.385
3 In 0.500 0.000 0.054
4 In 0.500 0.129 0.665
5 Fe 0.500 0.166 0.295
6 Cu 0.000 0.000 0.794

***

DFT (PBE) results for a geometry-optimized Dy2Ga5Cu3 structure.

## Properties
The total energy comes out at -4.022 eV per atom.

abc: 10.354 11.580 5.809
angles: 90.00 90.00 90.00
Space group Ibam (No. 72)
One atom of each set of equivalent atoms:
1 Dy 0.243 0.129 0.000
2 Ga 0.000 0.000 0.250
3 Ga 0.000 0.260 0.250
4 Ga 0.148 0.389 0.000
5 Cu 0.000 0.500 0.250
6 Cu 0.125 0.130 0.500

***

DFT (PBE) results for a geometry-optimized DyGa6Cu structure.

## Properties
The total energy comes out at -3.482 eV per atom.

abc: 6.2895 6.2895 4.2970
angles: 90.00 90.00 120.00
Space group P-6m2 (No. 187)
One atom of each set of equivalent atoms:
1 Dy 0.0000 0.0000 0.0000
2 Ga 0.0351 0.5175 0.0000
3 Ga 0.3782 0.1891 0.5000
4 Cu 0.3333 0.6667 0.5000

***

In order of appearance, total magnetization = 7.21 0.00 0.00 μB per cell.